The following is a PBE calculation of an optimized crystal structure of CaHfTiN3, from the Alexandria database.

Geometry as POSCAR:
```
CaHfTiN3
1.0
-2.826 0.464 1.429
-3.074 -1.452 -5.611
0.017 -8.396 2.758
Ca Hf N Ti
2 2 6 2
Direct
0.250 0.152 0.214 Ca
0.750 0.848 0.786 Ca
0.750 0.369 0.877 Hf
0.250 0.631 0.123 Hf
0.250 0.832 0.552 N
0.750 0.831 0.201 N
0.750 0.389 0.109 N
0.750 0.168 0.448 N
0.250 0.169 0.799 N
0.250 0.611 0.891 N
0.250 0.149 0.572 Ti
0.750 0.851 0.428 Ti
```

As for the formation energy (no corrections): -769 kJ/mol of formula units.